Entry 1:
Below is a relaxed structure of Mg2Cd3Ag8, with properties calculated at the PBE-GGA level.

Properties
Uncorrected energy in eV/atom: -2.252

Cell lengths 6.6000, 4.1676, 9.3769 Å; angles 90.00, 98.28, 90.00 degrees
Element x y z (fractional)
Mg1 0.2353 0.0000 0.0661
Mg2 0.7647 0.0000 0.9339
Cd1 0.2073 0.5000 0.5797
Cd2 0.5000 0.0000 0.5000
Cd3 0.7927 0.5000 0.4203
Ag1 0.0711 0.5000 0.8643
Ag2 0.0806 0.0000 0.3489
Ag3 0.3551 0.0000 0.7908
Ag4 0.3621 0.5000 0.2753
Ag5 0.6379 0.5000 0.7247
Ag6 0.6449 0.0000 0.2092
Ag7 0.9194 0.0000 0.6511
Ag8 0.9289 0.5000 0.1357

Entry 2:
Below is a relaxed structure of Mg3CdAg4, with properties calculated at the PBE-GGA level.

Properties
Uncorrected energy in eV/atom: -2.341

Cell lengths 3.3494, 3.3494, 13.3575 Å; angles 90.00, 90.00, 90.00 degrees
Element x y z (fractional)
Mg1 0.0000 0.0000 0.0000
Mg2 0.0000 0.0000 0.2475
Mg3 0.0000 0.0000 0.7525
Cd1 0.0000 0.0000 0.5000
Ag1 0.5000 0.5000 0.1243
Ag2 0.5000 0.5000 0.3681
Ag3 0.5000 0.5000 0.6319
Ag4 0.5000 0.5000 0.8757

Entry 3:
Below is a relaxed structure of Mg2Cd4Ag3, with properties calculated at the PBE-GGA level.

Properties
Uncorrected energy in eV/atom: -1.806

Cell lengths 7.0267, 7.0267, 6.6638 Å; angles 108.36, 108.36, 35.11 degrees
Element x y z (fractional)
Mg1 0.1605 0.1605 0.4938
Mg2 0.8395 0.8395 0.5062
Cd1 0.0535 0.0535 0.8374
Cd2 0.2784 0.2784 0.1711
Cd3 0.7216 0.7216 0.8289
Cd4 0.9465 0.9465 0.1626
Ag1 0.3836 0.3836 0.8211
Ag2 0.5000 0.5000 0.5000
Ag3 0.6164 0.6164 0.1789

Entry 4:
Below is a relaxed structure of MgCd5Ag2, with properties calculated at the PBE-GGA level.

Properties
Uncorrected energy in eV/atom: -1.466

Cell lengths 8.0069, 8.0069, 8.0069 Å; angles 123.27, 123.27, 84.42 degrees
Element x y z (fractional)
Mg1 0.2500 0.2500 0.0000
Mg2 0.7500 0.7500 0.0000
Cd1 0.0000 0.0000 0.0000
Cd2 0.0048 0.5048 0.1910
Cd3 0.1861 0.9952 0.5000
Cd4 0.3139 0.8139 0.8090
Cd5 0.4952 0.6861 0.5000
Cd6 0.5000 0.5000 0.0000
Cd7 0.5048 0.3139 0.5000
Cd8 0.6861 0.1861 0.1910
Cd9 0.8139 0.0048 0.5000
Cd10 0.9952 0.4952 0.8090
Ag1 0.1379 0.3621 0.5000
Ag2 0.3621 0.8621 0.2242
Ag3 0.6379 0.1379 0.7758
Ag4 0.8621 0.6379 0.5000

Entry 5:
Below is a relaxed structure of Mg12Cd3Ag, with properties calculated at the PBE-GGA level.

Properties
Uncorrected energy in eV/atom: -1.616

Cell lengths 4.4204, 4.4204, 17.6808 Å; angles 90.00, 90.00, 90.00 degrees
Element x y z (fractional)
Mg1 0.0000 0.0000 0.0000
Mg2 0.0000 0.0000 0.2466
Mg3 0.0000 0.0000 0.5000
Mg4 0.0000 0.0000 0.7534
Mg5 0.0000 0.5000 0.1193
Mg6 0.0000 0.5000 0.3737
Mg7 0.0000 0.5000 0.6263
Mg8 0.0000 0.5000 0.8807
Mg9 0.5000 0.0000 0.1193
Mg10 0.5000 0.0000 0.3737
Mg11 0.5000 0.0000 0.6263
Mg12 0.5000 0.0000 0.8807
Cd1 0.5000 0.5000 0.2468
Cd2 0.5000 0.5000 0.5000
Cd3 0.5000 0.5000 0.7532
Ag1 0.5000 0.5000 0.0000

Entry 6:
Below is a relaxed structure of MgCd2Ag8, with properties calculated at the PBE-GGA level.

Properties
Uncorrected energy in eV/atom: -2.407

Cell lengths 7.8611, 7.8611, 7.8611 Å; angles 151.14, 112.72, 74.81 degrees
Element x y z (fractional)
Mg1 0.0000 0.0000 0.0000
Cd1 0.3574 0.3574 0.0000
Cd2 0.6426 0.6426 0.0000
Ag1 0.0816 0.8337 0.2478
Ag2 0.1725 0.6725 0.5000
Ag3 0.2390 0.5000 0.7390
Ag4 0.4141 0.1663 0.2478
Ag5 0.5859 0.8337 0.7522
Ag6 0.7610 0.5000 0.2610
Ag7 0.8275 0.3275 0.5000
Ag8 0.9184 0.1663 0.7522

What is the formula in the first record? Mg2Cd3Ag8

Please write out number 6 again, unchanged.
Below is a relaxed structure of MgCd2Ag8, with properties calculated at the PBE-GGA level.

Properties
Uncorrected energy in eV/atom: -2.407

Cell lengths 7.8611, 7.8611, 7.8611 Å; angles 151.14, 112.72, 74.81 degrees
Element x y z (fractional)
Mg1 0.0000 0.0000 0.0000
Cd1 0.3574 0.3574 0.0000
Cd2 0.6426 0.6426 0.0000
Ag1 0.0816 0.8337 0.2478
Ag2 0.1725 0.6725 0.5000
Ag3 0.2390 0.5000 0.7390
Ag4 0.4141 0.1663 0.2478
Ag5 0.5859 0.8337 0.7522
Ag6 0.7610 0.5000 0.2610
Ag7 0.8275 0.3275 0.5000
Ag8 0.9184 0.1663 0.7522

The lowest uncorrected energy belongs to which entry? MgCd2Ag8

Which of these has the highest uncorrected energy? MgCd5Ag2